1.
VASP calculation (PBE-GGA) on a relaxed AsH2PdPb crystal.

Calculated values
Magnetic moment: 0.00 μB/f.u.
Crystal system: tetragonal
VASP energy: -3.85 eV per atom

a = 3.919 Å, b = 3.919 Å, c = 5.062 Å
α = 90.00°, β = 90.00°, γ = 90.00°
Space group P4/mmm (No. 123)
Symmetry-distinct sites (fractional):
As  0.000  0.000  0.000 (multiplicity 1)
H  0.000  0.500  0.000 (multiplicity 2)
Pd  0.000  0.000  0.500 (multiplicity 1)
Pb  0.500  0.500  0.500 (multiplicity 1)

2.
VASP calculation (PBE-GGA) on a relaxed AsHPd3Pb crystal.

Calculated values
Magnetic moment: 0.00 μB/f.u.
Crystal system: orthorhombic
VASP energy: -4.76 eV per atom

a = 5.830 Å, b = 11.649 Å, c = 5.912 Å
α = 90.00°, β = 90.00°, γ = 90.00°
Space group Cmcm (No. 63)
Symmetry-distinct sites (fractional):
As  0.000  0.115  0.250 (multiplicity 4)
H  0.000  0.482  0.250 (multiplicity 4)
Pd  0.000  0.323  0.250 (multiplicity 4)
Pd  0.244  0.500  0.000 (multiplicity 8)
Pb  0.000  0.236  0.750 (multiplicity 4)

3.
VASP calculation (PBE-GGA) on a relaxed AsHPt6Pb2 crystal.

Calculated values
Magnetic moment: 0.00 μB/f.u.
Crystal system: trigonal
VASP energy: -5.24 eV per atom

a = 5.7125 Å, b = 5.7125 Å, c = 18.5830 Å
α = 90.00°, β = 90.00°, γ = 120.00°
Space group R-3m (No. 166, hexagonal axes)
Symmetry-distinct sites (fractional):
As  0.0000  0.0000  0.0000 (multiplicity 3)
H  0.0000  0.0000  0.5000 (multiplicity 3)
Pt  0.0028  0.5014  0.7703 (multiplicity 18)
Pb  0.0000  0.0000  0.2773 (multiplicity 6)

4.
VASP calculation (PBE-GGA) on a relaxed Rb2AsHPb crystal.

Calculated values
Magnetic moment: 0.00 μB/f.u.
Crystal system: monoclinic
VASP energy: -2.95 eV per atom

a = 8.809 Å, b = 4.274 Å, c = 9.400 Å
α = 90.00°, β = 91.77°, γ = 90.00°
Space group P2_1/m (No. 11)
Symmetry-distinct sites (fractional):
Rb  0.130  0.250  0.159 (multiplicity 2)
Rb  0.196  0.250  0.574 (multiplicity 2)
As  0.293  0.750  0.897 (multiplicity 2)
H  0.117  0.750  0.373 (multiplicity 2)
Pb  0.497  0.750  0.156 (multiplicity 2)

5.
VASP calculation (PBE-GGA) on a relaxed AsHRh2Pb crystal.

Calculated values
Magnetic moment: 0.41 μB/f.u.
Crystal system: tetragonal
VASP energy: -4.37 eV per atom

a = 4.523 Å, b = 4.523 Å, c = 5.860 Å
α = 90.00°, β = 90.00°, γ = 90.00°
Space group P4/mmm (No. 123)
Symmetry-distinct sites (fractional):
As  0.000  0.000  0.000 (multiplicity 1)
H  0.500  0.500  0.500 (multiplicity 1)
Rh  0.000  0.500  0.000 (multiplicity 2)
Pb  0.000  0.000  0.500 (multiplicity 1)

6.
VASP calculation (PBE-GGA) on a relaxed As2HPbSe crystal.

Calculated values
Magnetic moment: 3.03 μB/f.u.
Distance to the lowest polymorph of the same formula: 0.9483 eV/atom
Crystal system: tetragonal
VASP energy: -2.62 eV per atom

a = 5.576 Å, b = 5.576 Å, c = 5.570 Å
α = 90.00°, β = 90.00°, γ = 90.00°
Space group P4/mmm (No. 123)
Symmetry-distinct sites (fractional):
As  0.000  0.500  0.000 (multiplicity 2)
H  0.000  0.000  0.500 (multiplicity 1)
Pb  0.500  0.500  0.000 (multiplicity 1)
Se  0.500  0.500  0.500 (multiplicity 1)

7.
VASP calculation (PBE-GGA) on a relaxed As2HPbSe crystal.

Calculated values
Magnetic moment: 0.00 μB/f.u.
Distance to the lowest polymorph of the same formula: 0.0000 eV/atom
Crystal system: tetragonal
VASP energy: -3.57 eV per atom

a = 4.148 Å, b = 4.148 Å, c = 5.887 Å
α = 90.00°, β = 90.00°, γ = 90.00°
Space group P4/mmm (No. 123)
Symmetry-distinct sites (fractional):
As  0.000  0.500  0.000 (multiplicity 2)
H  0.000  0.000  0.000 (multiplicity 1)
Pb  0.500  0.500  0.500 (multiplicity 1)
Se  0.000  0.000  0.500 (multiplicity 1)

8.
VASP calculation (PBE-GGA) on a relaxed TaAs2HPb crystal.

Calculated values
Magnetic moment: 1.31 μB/f.u.
Crystal system: tetragonal
VASP energy: -3.42 eV per atom

a = 5.436 Å, b = 5.436 Å, c = 5.398 Å
α = 90.00°, β = 90.00°, γ = 90.00°
Space group P4/mmm (No. 123)
Symmetry-distinct sites (fractional):
Ta  0.000  0.000  0.000 (multiplicity 1)
As  0.000  0.500  0.500 (multiplicity 2)
H  0.500  0.500  0.000 (multiplicity 1)
Pb  0.000  0.000  0.500 (multiplicity 1)

9.
VASP calculation (PBE-GGA) on a relaxed VAsHPb2 crystal.

Calculated values
Magnetic moment: 3.59 μB/f.u.
Crystal system: tetragonal
VASP energy: -3.92 eV per atom

a = 5.787 Å, b = 5.787 Å, c = 4.693 Å
α = 90.00°, β = 90.00°, γ = 90.00°
Space group P4/mmm (No. 123)
Symmetry-distinct sites (fractional):
V  0.000  0.000  0.000 (multiplicity 1)
As  0.000  0.000  0.500 (multiplicity 1)
H  0.500  0.500  0.000 (multiplicity 1)
Pb  0.000  0.500  0.500 (multiplicity 2)

10.
VASP calculation (PBE-GGA) on a relaxed AsH2Pd6 crystal.

Calculated values
Magnetic moment: 0.00 μB/f.u.
Distance to the lowest polymorph of the same formula: 0.0252 eV/atom
Crystal system: triclinic
VASP energy: -4.85 eV per atom

a = 4.857 Å, b = 4.925 Å, c = 5.648 Å
α = 89.12°, β = 71.03°, γ = 73.68°
Space group P-1 (No. 2)
Symmetry-distinct sites (fractional):
As  0.000  0.000  0.000 (multiplicity 1)
H  0.369  0.473  0.203 (multiplicity 2)
Pd  0.036  0.741  0.371 (multiplicity 2)
Pd  0.339  0.292  0.935 (multiplicity 2)
Pd  0.431  0.764  0.630 (multiplicity 2)

11.
VASP calculation (PBE-GGA) on a relaxed AsH6Pd12 crystal.

Calculated values
Magnetic moment: 0.00 μB/f.u.
Crystal system: trigonal
VASP energy: -4.40 eV per atom

a = 10.3972 Å, b = 10.3972 Å, c = 7.8825 Å
α = 90.00°, β = 90.00°, γ = 120.00°
Space group R-3m (No. 166, hexagonal axes)
Symmetry-distinct sites (fractional):
As  0.0000  0.0000  0.0000 (multiplicity 3)
H  0.1100  0.2200  0.7328 (multiplicity 18)
Pd  0.0000  0.3693  0.5000 (multiplicity 18)
Pd  0.0886  0.1772  0.3571 (multiplicity 18)

12.
VASP calculation (PBE-GGA) on a relaxed AsH2Pd crystal.

Calculated values
Magnetic moment: 0.00 μB/f.u.
Distance to the lowest polymorph of the same formula: 0.0000 eV/atom
Crystal system: tetragonal
VASP energy: -3.81 eV per atom

a = 4.666 Å, b = 4.666 Å, c = 8.251 Å
α = 90.00°, β = 90.00°, γ = 90.00°
Space group I-42d (No. 122)
Symmetry-distinct sites (fractional):
As  0.000  0.000  0.000 (multiplicity 4)
H  0.170  0.250  0.625 (multiplicity 8)
Pd  0.000  0.000  0.500 (multiplicity 4)

13.
VASP calculation (PBE-GGA) on a relaxed AsHPd3 crystal.

Calculated values
Magnetic moment: 0.00 μB/f.u.
Distance to the lowest polymorph of the same formula: 0.1233 eV/atom
Crystal system: cubic
VASP energy: -4.83 eV per atom

a = 4.034 Å, b = 4.034 Å, c = 4.034 Å
α = 90.00°, β = 90.00°, γ = 90.00°
Space group Pm-3m (No. 221)
Symmetry-distinct sites (fractional):
As  0.000  0.000  0.000 (multiplicity 1)
H  0.500  0.500  0.500 (multiplicity 1)
Pd  0.000  0.500  0.500 (multiplicity 3)

14.
VASP calculation (PBE-GGA) on a relaxed As5H2Pd12 crystal.

Calculated values
Magnetic moment: 0.00 μB/f.u.
Crystal system: monoclinic
VASP energy: -5.10 eV per atom

a = 13.861 Å, b = 6.153 Å, c = 7.788 Å
α = 90.00°, β = 116.26°, γ = 90.00°
Space group C2/m (No. 12)
Symmetry-distinct sites (fractional):
As  0.000  0.000  0.000 (multiplicity 2)
As  0.172  0.500  0.822 (multiplicity 4)
As  0.207  0.500  0.354 (multiplicity 4)
H  0.000  0.184  0.500 (multiplicity 4)
Pd  0.010  0.500  0.188 (multiplicity 4)
Pd  0.037  0.000  0.717 (multiplicity 4)
Pd  0.141  0.259  0.543 (multiplicity 8)
Pd  0.165  0.240  0.075 (multiplicity 8)

15.
VASP calculation (PBE-GGA) on a relaxed As3H5Pd12 crystal.

Calculated values
Magnetic moment: 0.00 μB/f.u.
Crystal system: cubic
VASP energy: -4.89 eV per atom

a = 12.717 Å, b = 12.717 Å, c = 12.717 Å
α = 90.00°, β = 90.00°, γ = 90.00°
Space group Ia-3d (No. 230)
Symmetry-distinct sites (fractional):
As  0.000  0.250  0.125 (multiplicity 24)
H  0.000  0.000  0.000 (multiplicity 16)
H  0.000  0.250  0.375 (multiplicity 24)
Pd  0.036  0.054  0.647 (multiplicity 96)

16.
VASP calculation (PBE-GGA) on a relaxed AsHPd3 crystal.

Calculated values
Magnetic moment: 0.00 μB/f.u.
Distance to the lowest polymorph of the same formula: 0.1184 eV/atom
Crystal system: orthorhombic
VASP energy: -4.83 eV per atom

a = 5.709 Å, b = 7.657 Å, c = 6.698 Å
α = 90.00°, β = 90.00°, γ = 90.00°
Space group Pnma (No. 62)
Symmetry-distinct sites (fractional):
As  0.000  0.000  0.000 (multiplicity 4)
H  0.024  0.250  0.492 (multiplicity 4)
Pd  0.107  0.250  0.753 (multiplicity 4)
Pd  0.128  0.071  0.340 (multiplicity 8)

17.
VASP calculation (PBE-GGA) on a relaxed As2HPd6 crystal.

Calculated values
Magnetic moment: 0.00 μB/f.u.
Crystal system: triclinic
VASP energy: -5.12 eV per atom

a = 5.573 Å, b = 6.365 Å, c = 7.664 Å
α = 87.59°, β = 83.10°, γ = 76.84°
Space group P1 (No. 1)
Symmetry-distinct sites (fractional):
As  0.000  0.000  0.000 (multiplicity 1)
As  0.163  0.133  0.465 (multiplicity 1)
As  0.546  0.477  0.348 (multiplicity 1)
As  0.713  0.618  0.806 (multiplicity 1)
H  0.368  0.304  0.889 (multiplicity 1)
H  0.927  0.773  0.324 (multiplicity 1)
Pd  0.069  0.295  0.772 (multiplicity 1)
Pd  0.148  0.286  0.159 (multiplicity 1)
Pd  0.251  0.625  0.905 (multiplicity 1)
Pd  0.254  0.805  0.246 (multiplicity 1)
Pd  0.457  0.809  0.565 (multiplicity 1)
Pd  0.461  0.990  0.908 (multiplicity 1)
Pd  0.564  0.326  0.656 (multiplicity 1)
Pd  0.642  0.320  0.041 (multiplicity 1)
Pd  0.757  0.065  0.353 (multiplicity 1)
Pd  0.782  0.700  0.122 (multiplicity 1)
Pd  0.927  0.915  0.691 (multiplicity 1)
Pd  0.946  0.548  0.468 (multiplicity 1)

18.
VASP calculation (PBE-GGA) on a relaxed AsH2Pd8 crystal.

Calculated values
Magnetic moment: 0.00 μB/f.u.
Distance to the lowest polymorph of the same formula: 0.0000 eV/atom
Crystal system: monoclinic
VASP energy: -4.95 eV per atom

a = 13.165 Å, b = 4.533 Å, c = 5.187 Å
α = 90.00°, β = 109.88°, γ = 90.00°
Space group C2/m (No. 12)
Symmetry-distinct sites (fractional):
As  0.000  0.000  0.000 (multiplicity 2)
H  0.166  0.500  0.673 (multiplicity 4)
Pd  0.052  0.500  0.794 (multiplicity 4)
Pd  0.101  0.000  0.496 (multiplicity 4)
Pd  0.180  0.500  0.348 (multiplicity 4)
Pd  0.200  0.000  0.057 (multiplicity 4)

19.
VASP calculation (PBE-GGA) on a relaxed AsHPd4 crystal.

Calculated values
Magnetic moment: 0.00 μB/f.u.
Distance to the lowest polymorph of the same formula: 0.0000 eV/atom
Crystal system: monoclinic
VASP energy: -5.04 eV per atom

a = 7.412 Å, b = 11.785 Å, c = 5.282 Å
α = 90.00°, β = 132.77°, γ = 90.00°
Space group C2/c (No. 15)
Symmetry-distinct sites (fractional):
As  0.000  0.126  0.250 (multiplicity 4)
H  0.000  0.385  0.750 (multiplicity 4)
Pd  0.145  0.294  0.642 (multiplicity 8)
Pd  0.243  0.046  0.836 (multiplicity 8)